This record from Alexandria describes a geometry-optimized SrPt2O4 structure. The functional is PBE-GGA.

Results
Total moment, Bohr magnetons per cell: 0.00
Formation energy from raw total energies, eV per formula unit: -8.80
VASP energy, eV/atom: -6.057
DOS at the Fermi energy, states/eV per cell: 9.1
Space group: No. 88

Cell lengths 6.802, 6.802, 6.802 Å; angles 126.73, 126.73, 78.70 degrees
Positions (direct):
Sr (0.375, 0.125, 0.250)
Sr (0.625, 0.875, 0.750)
Pt (0.000, 0.000, 0.500)
Pt (0.000, 0.500, 0.000)
Pt (0.000, 0.500, 0.500)
Pt (0.500, 0.500, 0.000)
O (0.008, 0.694, 0.870)
O (0.194, 0.824, 0.686)
O (0.324, 0.138, 0.630)
O (0.362, 0.492, 0.186)
O (0.638, 0.508, 0.814)
O (0.676, 0.862, 0.370)
O (0.806, 0.176, 0.314)
O (0.992, 0.306, 0.130)